Material: Y6SnAs2S3
Method: DFT, PBE-GGA
State: relaxed

DOS(E_F)   4.32 states/eV/cell
Space group   C2/m (12)

Cell: 4.070 8.173 9.119 Å, 102.57 102.89 90.00°
Fractional positions:
1 Y 0.000 0.735 0.001
2 Y 0.668 0.583 0.336
3 Y 0.332 0.417 0.664
4 Y 0.672 0.086 0.343
5 Y 0.000 0.265 0.999
6 Y 0.328 0.914 0.657
7 Sn 0.500 0.000 0.000
8 As 0.833 0.666 0.666
9 As 0.167 0.334 0.334
10 S 0.167 0.831 0.334
11 S 0.833 0.169 0.666
12 S 0.500 0.500 0.000

Material: Y6SnAs3S2
Method: DFT, PBE-GGA
State: relaxed

DOS(E_F)   2.64 states/eV/cell
Space group   C2/m (12)

Cell: 4.085 8.291 9.187 Å, 102.75 102.85 90.00°
Fractional positions:
1 Y 0.328 0.914 0.657
2 Y 0.667 0.585 0.334
3 Y 0.998 0.736 0.996
4 Y 0.002 0.264 0.004
5 Y 0.333 0.415 0.666
6 Y 0.672 0.086 0.343
7 As 0.834 0.169 0.668
8 As 0.166 0.831 0.332
9 As 0.500 0.500 0.000
10 Sn 0.500 0.000 0.000
11 S 0.830 0.660 0.660
12 S 0.170 0.340 0.340

Material: Sr3AsS
Method: DFT, PBE-GGA
State: relaxed

Distance to the lowest polymorph of the same formula   0 meV/atom
DOS(E_F)   4.22 states/eV/cell
Space group   Pm-3m (221)

Cell: 5.608 5.608 5.608 Å, 90.00 90.00 90.00°
Fractional positions:
1 S 0.000 0.000 0.000
2 Sr 0.500 0.000 0.000
3 Sr 0.000 0.500 0.000
4 Sr 0.000 0.000 0.500
5 As 0.500 0.500 0.500

Number 1: uncorrected formation energy -19.53 eV/f.u., final energy -7.0003 eV/atom. Number 2: uncorrected formation energy -18.70 eV/f.u., final energy -6.9744 eV/atom. Number 3: uncorrected formation energy -4.87 eV/f.u., final energy -3.7380 eV/atom.